Density functional theory data (PBE) for Er6GeTe2S3 after structural relaxation.

Values from the calculation:
The calculation puts the total DFT energy (no corrections) at -69.35 eV per cell.

a = 7.0377 Å, b = 7.0377 Å, c = 7.0599 Å
α = 99.62°, β = 99.62°, γ = 119.80°
Atoms (fractional coordinates):
Er 0.0909 0.4004 0.7765
Er 0.2136 0.2136 0.2220
Er 0.4004 0.0909 0.7765
Er 0.5996 0.9091 0.2235
Er 0.7864 0.7864 0.7780
Er 0.9091 0.5996 0.2235
Ge 0.0000 0.0000 0.5000
Te 0.3348 0.6652 0.5000
Te 0.6652 0.3348 0.5000
S 0.1751 0.8249 0.0000
S 0.5000 0.5000 0.0000
S 0.8249 0.1751 0.0000

---

Density functional theory data (PBE) for Er4GeTe2S after structural relaxation.

Values from the calculation:
The calculation puts the total DFT energy (no corrections) at -44.52 eV per cell.

a = 7.0954 Å, b = 4.1318 Å, c = 7.3936 Å
α = 90.00°, β = 109.01°, γ = 90.00°
Atoms (fractional coordinates):
Er 0.2370 0.0000 0.2107
Er 0.2618 0.5000 0.7846
Er 0.7382 0.5000 0.2154
Er 0.7630 0.0000 0.7893
Ge 0.5000 0.0000 0.0000
Te 0.0000 0.0000 0.5000
Te 0.5000 0.5000 0.5000
S 0.0000 0.5000 0.0000

---

Density functional theory data (PBE) for ErThGeS after structural relaxation.

Values from the calculation:
The calculation puts the total DFT energy (no corrections) at -26.18 eV per cell.

a = 6.9769 Å, b = 6.9769 Å, c = 6.9769 Å
α = 34.58°, β = 34.58°, γ = 34.58°
Atoms (fractional coordinates):
Er 0.0000 0.0000 0.0000
Th 0.5007 0.5007 0.5007
Ge 0.7469 0.7469 0.7469
S 0.2544 0.2544 0.2544

---

Density functional theory data (PBE) for ErTlGeS4 after structural relaxation.

Values from the calculation:
The calculation puts the total DFT energy (no corrections) at -69.93 eV per cell.

a = 6.4750 Å, b = 6.6765 Å, c = 8.7591 Å
α = 90.00°, β = 107.00°, γ = 90.00°
Atoms (fractional coordinates):
Er 0.2236 0.2500 0.0518
Er 0.7764 0.7500 0.9482
Tl 0.2611 0.2500 0.5684
Tl 0.7389 0.7500 0.4316
Ge 0.2321 0.7500 0.8301
Ge 0.7679 0.2500 0.1699
S 0.0009 0.5056 0.2042
S 0.0009 0.9944 0.2042
S 0.4381 0.7500 0.6700
S 0.4429 0.7500 0.0805
S 0.5571 0.2500 0.9195
S 0.5619 0.2500 0.3300
S 0.9991 0.0056 0.7958
S 0.9991 0.4944 0.7958

---

Density functional theory data (PBE) for Er3Tl3GeS8 after structural relaxation.

Values from the calculation:
The calculation puts the total DFT energy (no corrections) at -76.15 eV per cell.

a = 8.8593 Å, b = 8.8593 Å, c = 8.8593 Å
α = 52.23°, β = 52.23°, γ = 52.23°
Atoms (fractional coordinates):
Er 0.0000 0.5000 0.5000
Er 0.5000 0.0000 0.5000
Er 0.5000 0.5000 0.0000
Tl 0.0000 0.0000 0.5000
Tl 0.0000 0.5000 0.0000
Tl 0.5000 0.0000 0.0000
Ge 0.0000 0.0000 0.0000
S 0.2143 0.2143 0.7556
S 0.2143 0.7556 0.2143
S 0.2444 0.7857 0.7857
S 0.2680 0.2680 0.2680
S 0.7320 0.7320 0.7320
S 0.7556 0.2143 0.2143
S 0.7857 0.2444 0.7857
S 0.7857 0.7857 0.2444

---

Density functional theory data (PBE) for Er6TlGe2S3 after structural relaxation.

Values from the calculation:
The calculation puts the total DFT energy (no corrections) at -66.90 eV per cell.

a = 9.1967 Å, b = 9.1967 Å, c = 8.1918 Å
α = 108.11°, β = 108.11°, γ = 25.20°
Atoms (fractional coordinates):
Er 0.0073 0.0073 0.2262
Er 0.3252 0.3252 0.4224
Er 0.3305 0.3305 0.9290
Er 0.6695 0.6695 0.0710
Er 0.6748 0.6748 0.5776
Er 0.9927 0.9927 0.7738
Tl 0.5000 0.5000 0.5000
Ge 0.1599 0.1599 0.8153
Ge 0.8401 0.8401 0.1847
S 0.1681 0.1681 0.3236
S 0.5000 0.5000 0.0000
S 0.8319 0.8319 0.6764

---

Density functional theory data (PBE) for ErTmGeS after structural relaxation.

Values from the calculation:
The calculation puts the total DFT energy (no corrections) at -23.47 eV per cell.

a = 6.9476 Å, b = 6.9476 Å, c = 6.9476 Å
α = 33.42°, β = 33.42°, γ = 33.42°
Atoms (fractional coordinates):
Er 0.0000 0.0000 0.0000
Tm 0.5011 0.5011 0.5011
Ge 0.2502 0.2502 0.2502
S 0.7511 0.7511 0.7511

---

Density functional theory data (PBE) for YErGeS after structural relaxation.

Values from the calculation:
The calculation puts the total DFT energy (no corrections) at -25.58 eV per cell.

a = 7.0115 Å, b = 7.0115 Å, c = 7.0115 Å
α = 33.38°, β = 33.38°, γ = 33.38°
Atoms (fractional coordinates):
Y 0.0000 0.0000 0.0000
Er 0.4992 0.4992 0.4992
Ge 0.7506 0.7506 0.7506
S 0.2484 0.2484 0.2484

---

Density functional theory data (PBE) for Er8GeSb5 after structural relaxation.

Values from the calculation:
The calculation puts the total DFT energy (no corrections) at -74.72 eV per cell.

a = 7.8486 Å, b = 7.8486 Å, c = 7.8486 Å
α = 109.86°, β = 109.86°, γ = 108.71°
Atoms (fractional coordinates):
Er 0.0259 0.6289 0.7460
Er 0.2290 0.4926 0.1191
Er 0.3711 0.1171 0.3970
Er 0.3735 0.1098 0.8809
Er 0.5074 0.6265 0.7363
Er 0.7201 0.9741 0.6030
Er 0.8829 0.2799 0.2540
Er 0.8902 0.7710 0.2637
Ge 0.2500 0.7500 0.5000
Sb 0.0000 0.0000 0.0000
Sb 0.1230 0.2517 0.6322
Sb 0.5092 0.8770 0.1287
Sb 0.6195 0.4908 0.3678
Sb 0.7483 0.3805 0.8713

---

Density functional theory data (PBE) for Er10Ge3Sb3 after structural relaxation.

Values from the calculation:
The calculation puts the total DFT energy (no corrections) at -85.21 eV per cell.

a = 8.6624 Å, b = 8.6624 Å, c = 6.3023 Å
α = 90.00°, β = 90.00°, γ = 120.00°
Atoms (fractional coordinates):
Er 0.0000 0.2430 0.0000
Er 0.0000 0.7589 0.5000
Er 0.2411 0.2411 0.5000
Er 0.2430 0.0000 0.0000
Er 0.3333 0.6667 0.2427
Er 0.3333 0.6667 0.7573
Er 0.6667 0.3333 0.2427
Er 0.6667 0.3333 0.7573
Er 0.7570 0.7570 0.0000
Er 0.7589 0.0000 0.5000
Ge 0.0000 0.6101 0.0000
Ge 0.3899 0.3899 0.0000
Ge 0.6101 0.0000 0.0000
Sb 0.0000 0.3953 0.5000
Sb 0.3953 0.0000 0.5000
Sb 0.6047 0.6047 0.5000

---

Density functional theory data (PBE) for Er3GeSb after structural relaxation.

Values from the calculation:
The calculation puts the total DFT energy (no corrections) at -51.05 eV per cell.

a = 7.2241 Å, b = 7.2307 Å, c = 7.9084 Å
α = 62.87°, β = 62.84°, γ = 60.14°
Atoms (fractional coordinates):
Er 0.0164 0.4093 0.2649
Er 0.1904 0.9832 0.7354
Er 0.4081 0.8101 0.2645
Er 0.5919 0.1899 0.7355
Er 0.8096 0.0168 0.2646
Er 0.9836 0.5907 0.7351
Ge 0.1673 0.1679 0.9980
Ge 0.8327 0.8321 0.0020
Sb 0.3640 0.3627 0.4104
Sb 0.6360 0.6373 0.5896

---

Density functional theory data (PBE) for Er6GeSb2 after structural relaxation.

Values from the calculation:
The calculation puts the total DFT energy (no corrections) at -92.18 eV per cell.

a = 6.2428 Å, b = 8.0835 Å, c = 11.6842 Å
α = 90.00°, β = 121.66°, γ = 90.00°
Atoms (fractional coordinates):
Er 0.0795 0.1877 0.4508
Er 0.0795 0.3123 0.9508
Er 0.3216 0.6724 0.4526
Er 0.3216 0.8276 0.9526
Er 0.3591 0.0326 0.2317
Er 0.3591 0.4674 0.7317
Er 0.6409 0.5326 0.2683
Er 0.6409 0.9674 0.7683
Er 0.6784 0.1724 0.0474
Er 0.6784 0.3276 0.5474
Er 0.9205 0.6877 0.0492
Er 0.9205 0.8123 0.5492
Ge 0.5000 0.0000 0.5000
Ge 0.5000 0.5000 0.0000
Sb 0.1569 0.1149 0.7469
Sb 0.1569 0.3851 0.2469
Sb 0.8431 0.6149 0.7531
Sb 0.8431 0.8851 0.2531

---

Density functional theory data (PBE) for Er4GeSb3 after structural relaxation.

Values from the calculation:
The calculation puts the total DFT energy (no corrections) at -42.86 eV per cell.

a = 6.0825 Å, b = 6.0825 Å, c = 6.0825 Å
α = 90.00°, β = 90.00°, γ = 90.00°
Atoms (fractional coordinates):
Er 0.0000 0.0000 0.0000
Er 0.0000 0.5000 0.5000
Er 0.5000 0.0000 0.5000
Er 0.5000 0.5000 0.0000
Ge 0.5000 0.5000 0.5000
Sb 0.0000 0.0000 0.5000
Sb 0.0000 0.5000 0.0000
Sb 0.5000 0.0000 0.0000

---

Density functional theory data (PBE) for Er2GeSb after structural relaxation.

Values from the calculation:
The calculation puts the total DFT energy (no corrections) at -43.05 eV per cell.

a = 11.6846 Å, b = 11.6846 Å, c = 4.1378 Å
α = 90.00°, β = 90.00°, γ = 158.65°
Atoms (fractional coordinates):
Er 0.0604 0.9396 0.7500
Er 0.3237 0.6763 0.7500
Er 0.6763 0.3237 0.2500
Er 0.9396 0.0604 0.2500
Ge 0.4572 0.5428 0.7500
Ge 0.5428 0.4572 0.2500
Sb 0.1897 0.8103 0.7500
Sb 0.8103 0.1897 0.2500

---

Density functional theory data (PBE) for Er2GeSb after structural relaxation.

Values from the calculation:
The calculation puts the total DFT energy (no corrections) at -21.30 eV per cell.

a = 7.5739 Å, b = 7.5739 Å, c = 7.5739 Å
α = 31.77°, β = 31.77°, γ = 31.77°
Atoms (fractional coordinates):
Er 0.2446 0.2446 0.2446
Er 0.7554 0.7554 0.7554
Ge 0.5000 0.5000 0.5000
Sb 0.0000 0.0000 0.0000

---

Density functional theory data (PBE) for Er4GeSb after structural relaxation.

Values from the calculation:
The calculation puts the total DFT energy (no corrections) at -58.77 eV per cell.

a = 5.7947 Å, b = 8.7306 Å, c = 7.4662 Å
α = 90.00°, β = 105.16°, γ = 90.00°
Atoms (fractional coordinates):
Er 0.0205 0.0487 0.2390
Er 0.0205 0.4513 0.2390
Er 0.4121 0.7500 0.4884
Er 0.4348 0.2500 0.9940
Er 0.5652 0.7500 0.0060
Er 0.5879 0.2500 0.5116
Er 0.9795 0.5487 0.7610
Er 0.9795 0.9513 0.7610
Ge 0.0982 0.7500 0.0733
Ge 0.9018 0.2500 0.9267
Sb 0.1156 0.2500 0.5853
Sb 0.8844 0.7500 0.4147

---

Density functional theory data (PBE) for Er8GeSb2 after structural relaxation.

Values from the calculation:
The calculation puts the total DFT energy (no corrections) at -54.83 eV per cell.

a = 9.2511 Å, b = 9.2511 Å, c = 8.3393 Å
α = 93.62°, β = 93.62°, γ = 26.27°
Atoms (fractional coordinates):
Er 0.0120 0.0120 0.2300
Er 0.2084 0.2084 0.3632
Er 0.3421 0.3421 0.9720
Er 0.4067 0.4067 0.4572
Er 0.5933 0.5933 0.5428
Er 0.6579 0.6579 0.0280
Er 0.7916 0.7916 0.6368
Er 0.9880 0.9880 0.7700
Ge 0.5000 0.5000 0.0000
Sb 0.1790 0.1790 0.7638
Sb 0.8210 0.8210 0.2362

---

Density functional theory data (PBE) for Er4Ge2Sb after structural relaxation.

Values from the calculation:
The calculation puts the total DFT energy (no corrections) at -75.46 eV per cell.

a = 7.6937 Å, b = 7.6937 Å, c = 7.6937 Å
α = 108.98°, β = 108.98°, γ = 110.46°
Atoms (fractional coordinates):
Er 0.1349 0.7404 0.7447
Er 0.1402 0.2457 0.7553
Er 0.2596 0.0043 0.3945
Er 0.4904 0.3849 0.2447
Er 0.6098 0.8651 0.6055
Er 0.6151 0.8598 0.1055
Er 0.7543 0.5096 0.8945
Er 0.9957 0.3902 0.2553
Ge 0.2423 0.6250 0.1173
Ge 0.3750 0.4923 0.6173
Ge 0.5077 0.1250 0.8827
Ge 0.8750 0.7577 0.3827
Sb 0.0000 0.0000 0.0000
Sb 0.7500 0.2500 0.5000

---

Density functional theory data (PBE) for Er6GeSb2Se3 after structural relaxation.

Values from the calculation:
The calculation puts the total DFT energy (no corrections) at -67.46 eV per cell.

a = 9.3207 Å, b = 9.3207 Å, c = 8.3361 Å
α = 102.29°, β = 102.29°, γ = 25.89°
Atoms (fractional coordinates):
Er 0.0019 0.0019 0.2663
Er 0.3379 0.3379 0.9102
Er 0.3407 0.3407 0.4270
Er 0.6593 0.6593 0.5730
Er 0.6621 0.6621 0.0898
Er 0.9981 0.9981 0.7337
Ge 0.5000 0.5000 0.5000
Sb 0.1677 0.1677 0.8353
Sb 0.8323 0.8323 0.1647
Se 0.1687 0.1687 0.3350
Se 0.5000 0.5000 0.0000
Se 0.8313 0.8313 0.6650

---

Density functional theory data (PBE) for Er6GeSb3Se2 after structural relaxation.

Values from the calculation:
The calculation puts the total DFT energy (no corrections) at -66.92 eV per cell.

a = 7.2972 Å, b = 7.2972 Å, c = 7.3205 Å
α = 99.56°, β = 99.56°, γ = 119.95°
Atoms (fractional coordinates):
Er 0.0787 0.4033 0.2360
Er 0.2445 0.2445 0.7612
Er 0.4033 0.0787 0.2360
Er 0.5967 0.9213 0.7640
Er 0.7555 0.7555 0.2388
Er 0.9213 0.5967 0.7640
Ge 0.0000 0.0000 0.0000
Sb 0.1705 0.8295 0.5000
Sb 0.5000 0.5000 0.5000
Sb 0.8295 0.1705 0.5000
Se 0.3344 0.6656 0.0000
Se 0.6656 0.3344 0.0000

---

Density functional theory data (PBE) for Er4GeSb2Se after structural relaxation.

Values from the calculation:
The calculation puts the total DFT energy (no corrections) at -44.27 eV per cell.

a = 7.3017 Å, b = 4.2089 Å, c = 7.3466 Å
α = 90.00°, β = 109.23°, γ = 90.00°
Atoms (fractional coordinates):
Er 0.2391 0.0000 0.2332
Er 0.2457 0.5000 0.7630
Er 0.7543 0.5000 0.2370
Er 0.7609 0.0000 0.7668
Ge 0.0000 0.5000 0.0000
Sb 0.0000 0.0000 0.5000
Sb 0.5000 0.5000 0.5000
Se 0.5000 0.0000 0.0000

---

Density functional theory data (PBE) for Er4GeSbSe2 after structural relaxation.

Values from the calculation:
The calculation puts the total DFT energy (no corrections) at -45.11 eV per cell.

a = 7.1629 Å, b = 4.1565 Å, c = 7.2375 Å
α = 90.00°, β = 109.49°, γ = 90.00°
Atoms (fractional coordinates):
Er 0.2410 0.0000 0.2355
Er 0.2486 0.5000 0.7634
Er 0.7514 0.5000 0.2366
Er 0.7590 0.0000 0.7645
Ge 0.0000 0.5000 0.0000
Sb 0.0000 0.0000 0.5000
Se 0.5000 0.0000 0.0000
Se 0.5000 0.5000 0.5000